(1)
{"formula": "KSr2", "functional": "PBE", "state": "relaxed", "lattice": [[-3.223, 4.890, 3.322], [-0.766, -0.405, 6.677], [3.430, 4.152, 4.040]], "species": ["K", "Sr", "Sr"], "frac_coords": [[0.000, 0.000, 0.000], [0.750, 0.750, 0.750], [0.250, 0.250, 0.250]], "e_tot_ev_per_cell": -3.18, "sg": "Fm-3m, No. 225"}

(2)
{"formula": "Pm4Y8Ho3", "functional": "PBE", "state": "relaxed", "lattice": [[6.152, 0.000, 3.318], [2.181, 5.752, 3.318], [-2.556, -1.764, 12.102]], "species": ["Pm", "Pm", "Pm", "Pm", "Y", "Y", "Y", "Y", "Y", "Y", "Y", "Y", "Ho", "Ho", "Ho"], "frac_coords": [[0.000, 0.000, 0.000], [0.336, 0.336, 0.991], [0.500, 0.500, 0.500], [0.664, 0.664, 0.009], [0.245, 0.245, 0.265], [0.248, 0.750, 0.252], [0.750, 0.750, 0.252], [0.750, 0.248, 0.252], [0.755, 0.755, 0.735], [0.752, 0.250, 0.748], [0.250, 0.250, 0.748], [0.250, 0.752, 0.748], [0.500, 0.000, 0.500], [0.000, 0.000, 0.500], [0.000, 0.500, 0.500]], "relative_energy_mev_per_atom": 0.0, "sg": "R-3m, No. 166"}

(3)
{"formula": "LaTaTl2", "functional": "PBE", "state": "relaxed", "lattice": [[-1.592, 2.846, -3.338], [2.526, -2.330, -3.192], [-3.604, -2.888, -0.744]], "species": ["La", "Ta", "Tl", "Tl"], "frac_coords": [[0.500, 0.000, 0.500], [0.000, 0.500, 0.500], [0.000, 0.000, 0.000], [0.500, 0.500, 0.000]], "e_tot_ev_per_cell": -20.04, "sg": "Pmmm, No. 47"}

(4)
{"formula": "TbPm2PaN4", "functional": "PBE", "state": "relaxed", "lattice": [[-0.198, -2.909, -2.045], [4.944, -2.283, 2.769], [-5.041, -1.805, 3.054]], "species": ["Tb", "Pm", "Pm", "Pa", "N", "N", "N", "N"], "frac_coords": [[0.500, 0.500, 0.000], [0.500, 0.000, 0.500], [0.000, 0.500, 0.500], [0.000, 0.000, 0.000], [0.500, 0.232, 0.225], [0.500, 0.768, 0.775], [0.000, 0.242, 0.772], [0.000, 0.758, 0.228]], "raw_formation_energy_mev_per_atom": -1604, "sg": "P2/m, No. 10"}

(5)
{"formula": "YTiZn3", "functional": "PBE", "state": "relaxed", "lattice": [[5.159, 0.000, 0.000], [0.000, 5.159, 0.000], [0.000, 0.000, 5.159]], "species": ["Y", "Zn", "Zn", "Zn", "Ti"], "frac_coords": [[0.000, 0.000, 0.000], [0.000, 0.500, 0.000], [0.000, 0.000, 0.500], [0.500, 0.000, 0.000], [0.500, 0.500, 0.500]], "relative_energy_mev_per_atom": 892.2, "sg": "Pm-3m, No. 221"}

(6)
{"formula": "Os2RuCl", "functional": "PBE", "state": "relaxed", "lattice": [[8.843, 0.011, 0.006], [8.397, 2.771, 0.006], [8.397, 1.355, 2.417]], "species": ["Cl", "Os", "Os", "Ru"], "frac_coords": [[0.750, 0.750, 0.750], [0.998, 0.998, 0.998], [0.502, 0.502, 0.502], [0.250, 0.250, 0.250]], "raw_formation_energy_mev_per_atom": 623, "relative_energy_mev_per_atom": 115.9, "sg": "R-3m, No. 166"}

Across the entries above, total magnetic moment takes the values 0.0, 0.0, 0.0, 0.0, 0.0, 0.0 Bohr magnetons per cell, respectively.